(1)
VASP calculation (GGA-PBE) on Zr5H8 after structural relaxation. Values from VASP.

```
&SYSTEM
  ibrav = 0, nat = 13, ntyp = 2
/
ATOMIC_SPECIES
Zr 91.22 Zr.upf
H 1.01 H.upf
CELL_PARAMETERS angstrom
4.898 2.416 -2.043
-3.462 1.427 4.470
2.159 -5.031 2.007
ATOMIC_POSITIONS angstrom
Zr 0.000 0.000 0.000
Zr 3.959 -2.242 1.207
Zr 0.812 -1.952 2.610
Zr -0.363 1.054 3.227
Zr 2.783 0.764 1.824
H 0.980 -3.902 3.273
H 2.789 -1.173 2.532
H 1.520 1.894 3.108
H 2.076 -3.082 1.327
H 0.807 -0.015 1.902
H 1.693 -1.993 4.478
H 1.903 0.805 -0.044
H 2.616 2.713 1.162
```

As for the total energy: -76.35 eV/cell. The volume comes out at 10.4 Å³ per atom. As for the symmetry: I4/m, No. 87. As for the crystal system: tetragonal.

(2)
VASP calculation (GGA-PBE) on Zr4H7 after structural relaxation. Values from VASP.

```
&SYSTEM
  ibrav = 0, nat = 11, ntyp = 2
/
ATOMIC_SPECIES
H 1.01 H.upf
Zr 91.22 Zr.upf
CELL_PARAMETERS angstrom
-2.387 2.387 4.772
2.387 -2.387 4.772
2.387 2.387 -4.772
ATOMIC_POSITIONS angstrom
H 0.000 0.000 0.000
H 0.000 2.387 0.000
H 0.000 0.000 7.150
H 0.000 0.000 2.393
H 2.387 0.000 0.000
H 2.387 0.000 2.386
H 0.000 2.387 2.386
Zr -1.170 1.170 3.601
Zr 1.216 1.216 1.171
Zr 1.170 -1.170 3.601
Zr 1.170 1.170 5.943
```

As for the total energy: -63.63 eV/cell. The volume comes out at 9.9 Å³ per atom. As for the symmetry: I-42m, No. 121. As for the crystal system: tetragonal.

(3)
VASP calculation (GGA-PBE) on Zr4H7 after structural relaxation. Values from VASP.

```
&SYSTEM
  ibrav = 0, nat = 11, ntyp = 2
/
ATOMIC_SPECIES
Zr 91.22 Zr.upf
H 1.01 H.upf
CELL_PARAMETERS angstrom
4.770 0.000 0.000
0.000 4.770 0.000
0.000 0.000 4.770
ATOMIC_POSITIONS angstrom
Zr 1.212 3.558 3.558
Zr 1.212 1.212 1.212
Zr 3.558 3.558 1.212
Zr 3.558 1.212 3.558
H 0.000 0.000 2.385
H 0.000 2.385 0.000
H 2.385 0.000 2.385
H 2.385 2.385 0.000
H 2.385 0.000 0.000
H 0.000 2.385 2.385
H 0.000 0.000 0.000
```

As for the total energy: -63.62 eV/cell. The volume comes out at 9.9 Å³ per atom. As for the symmetry: P-43m, No. 215. As for the crystal system: cubic.

(4)
VASP calculation (GGA-PBE) on Zr5H after structural relaxation. Values from VASP.

```
&SYSTEM
  ibrav = 0, nat = 6, ntyp = 2
/
ATOMIC_SPECIES
Zr 91.22 Zr.upf
H 1.01 H.upf
CELL_PARAMETERS angstrom
-5.645 1.082 -0.813
2.791 -3.664 -3.533
-1.198 -3.911 3.110
ATOMIC_POSITIONS angstrom
Zr -0.021 -2.082 -2.626
Zr -2.026 -3.246 -0.618
Zr 0.797 -3.788 -0.212
Zr -2.833 -0.500 -1.720
Zr -3.421 -1.414 1.149
H 0.000 0.000 0.000
```

As for the total energy: -39.07 eV/cell. The volume comes out at 25.0 Å³ per atom. As for the symmetry: P6/mmm, No. 191. As for the crystal system: hexagonal.

(5)
VASP calculation (GGA-PBE) on Hf after structural relaxation. Values from VASP.

```
&SYSTEM
  ibrav = 0, nat = 20, ntyp = 1
/
ATOMIC_SPECIES
Hf 178.49 Hf.upf
CELL_PARAMETERS angstrom
-3.451 -2.552 -6.338
-2.169 -6.324 3.727
-6.479 3.476 2.128
ATOMIC_POSITIONS angstrom
Hf -2.517 -2.986 0.656
Hf -4.830 -6.557 -2.819
Hf -7.200 -4.914 1.985
Hf -8.146 -3.636 -0.326
Hf -8.203 0.967 -2.462
Hf -7.242 -6.773 -0.659
Hf -3.192 -1.237 -1.991
Hf -6.308 -1.560 -1.716
Hf -5.125 -4.320 -0.488
Hf -9.253 -2.059 -2.983
Hf -8.890 -0.939 -0.114
Hf -6.237 -2.007 1.497
Hf -4.684 -3.574 -3.654
Hf -0.929 -0.414 -0.037
Hf -6.860 0.944 0.334
Hf -7.179 -4.532 -2.802
Hf -3.844 -0.040 0.953
Hf -9.216 -2.643 2.614
Hf -6.628 -3.184 4.495
Hf -4.508 -4.535 2.678
```

As for the total energy: -196.34 eV/cell. The volume comes out at 22.4 Å³ per atom. The energy of formation is 139 meV/atom. Its relative energy among the computed polymorphs is 138.5 meV/atom. As for the symmetry: P4_132, No. 213. As for the crystal system: cubic.

(6)
VASP calculation (GGA-PBE) on Hf after structural relaxation. Values from VASP.

```
&SYSTEM
  ibrav = 0, nat = 2, ntyp = 1
/
ATOMIC_SPECIES
Hf 178.49 Hf.upf
CELL_PARAMETERS angstrom
3.157 0.000 0.000
1.579 2.786 0.000
0.000 0.000 5.053
ATOMIC_POSITIONS angstrom
Hf 3.157 0.909 1.263
Hf 1.579 1.877 3.790
```

As for the total energy: -19.91 eV/cell. The volume comes out at 22.2 Å³ per atom. The energy of formation is 2 meV/atom. Its relative energy among the computed polymorphs is 2.4 meV/atom. As for the symmetry: Cmcm, No. 63. As for the crystal system: orthorhombic.

(7)
VASP calculation (GGA-PBE) on Hf after structural relaxation. Values from VASP.

```
&SYSTEM
  ibrav = 0, nat = 4, ntyp = 1
/
ATOMIC_SPECIES
Hf 178.49 Hf.upf
CELL_PARAMETERS angstrom
-0.881 -2.136 -2.200
3.049 0.177 0.920
-1.819 -6.808 7.337
ATOMIC_POSITIONS angstrom
Hf 1.284 -2.296 1.715
Hf 0.000 0.000 0.000
Hf -0.935 -6.471 4.343
Hf -0.910 -3.404 3.669
```

As for the total energy: -39.61 eV/cell. The volume comes out at 22.4 Å³ per atom. The energy of formation is 52 meV/atom. Its relative energy among the computed polymorphs is 51.8 meV/atom. As for the symmetry: P6_3/mmc, No. 194. As for the crystal system: hexagonal.

(8)
VASP calculation (GGA-PBE) on Hf after structural relaxation. Values from VASP.

```
&SYSTEM
  ibrav = 0, nat = 1, ntyp = 1
/
ATOMIC_SPECIES
Hf 178.49 Hf.upf
CELL_PARAMETERS angstrom
2.142 -1.010 2.012
0.962 1.442 -2.579
0.290 1.482 2.716
ATOMIC_POSITIONS angstrom
Hf 0.000 0.000 0.000
```

As for the total energy: -9.87 eV/cell. The volume comes out at 22.0 Å³ per atom. The energy of formation is 83 meV/atom. Its relative energy among the computed polymorphs is 83.1 meV/atom. As for the symmetry: R-3m, No. 166. As for the crystal system: trigonal.

(9)
VASP calculation (GGA-PBE) on Hf after structural relaxation. Values from VASP.

```
&SYSTEM
  ibrav = 0, nat = 3, ntyp = 1
/
ATOMIC_SPECIES
Hf 178.49 Hf.upf
CELL_PARAMETERS angstrom
-1.891 -4.219 1.881
4.936 0.489 -0.563
0.206 1.165 2.820
ATOMIC_POSITIONS angstrom
Hf 1.784 0.940 1.693
Hf -0.562 -1.019 1.568
Hf 2.029 -2.486 0.879
```

As for the total energy: -29.33 eV/cell. The volume comes out at 22.0 Å³ per atom. The energy of formation is 180 meV/atom. Its relative energy among the computed polymorphs is 179.7 meV/atom. As for the symmetry: Im-3m, No. 229. As for the crystal system: cubic.

(10)
VASP calculation (GGA-PBE) on Hf after structural relaxation. Values from VASP.

```
&SYSTEM
  ibrav = 0, nat = 3, ntyp = 1
/
ATOMIC_SPECIES
Hf 178.49 Hf.upf
CELL_PARAMETERS angstrom
4.975 0.000 0.000
-2.488 4.309 0.000
0.000 0.000 3.090
ATOMIC_POSITIONS angstrom
Hf 2.488 1.436 1.545
Hf 0.000 0.000 0.000
Hf 0.000 2.872 1.545
```

As for the total energy: -29.74 eV/cell. The volume comes out at 22.1 Å³ per atom. The energy of formation is 43 meV/atom. Its relative energy among the computed polymorphs is 43.1 meV/atom. As for the symmetry: P6/mmm, No. 191. As for the crystal system: hexagonal.

(11)
VASP calculation (GGA-PBE) on Hf after structural relaxation. Values from VASP.

```
&SYSTEM
  ibrav = 0, nat = 4, ntyp = 1
/
ATOMIC_SPECIES
Hf 178.49 Hf.upf
CELL_PARAMETERS angstrom
0.038 -0.918 3.096
-4.845 -1.769 -0.465
-0.527 -5.696 -1.682
ATOMIC_POSITIONS angstrom
Hf -1.024 -4.845 0.260
Hf -1.869 -3.112 2.468
Hf -3.466 -5.271 -1.520
Hf -4.310 -3.538 0.689
```

As for the total energy: -38.75 eV/cell. The volume comes out at 22.5 Å³ per atom. The energy of formation is 267 meV/atom. Its relative energy among the computed polymorphs is 266.8 meV/atom. As for the symmetry: Fmmm, No. 69. As for the crystal system: orthorhombic.

(12)
VASP calculation (GGA-PBE) on Hf after structural relaxation. Values from VASP.

```
&SYSTEM
  ibrav = 0, nat = 2, ntyp = 1
/
ATOMIC_SPECIES
Hf 178.49 Hf.upf
CELL_PARAMETERS angstrom
3.195 0.000 0.000
-1.597 2.767 0.000
0.000 0.000 5.052
ATOMIC_POSITIONS angstrom
Hf 0.000 1.844 1.263
Hf 1.597 0.922 3.789
```

As for the total energy: -19.91 eV/cell. The volume comes out at 22.3 Å³ per atom. The energy of formation is 0 meV/atom. Its relative energy among the computed polymorphs is 0.0 meV/atom. As for the symmetry: P6_3/mmc, No. 194. As for the crystal system: hexagonal.

no.,size of the total moment (μB per formula unit)
1,0.00
2,0.00
3,0.00
4,0.00
5,0.00
6,0.01
7,0.00
8,0.00
9,0.01
10,0.01
11,0.01
12,0.01